# 1
Y4RuRh: relaxed, PBE.

Unit cell a=5.8892 b=5.8892 c=5.8892 alpha=60.00 beta=60.00 gamma=60.00
Last column: nearest neighbours and their distance in Å.
Fractional positions:
1 Y 0.8752 0.3749 0.3749  6 Y 2.94-2.95
2 Y 0.3749 0.3749 0.8752  6 Y 2.94-2.95
3 Y 0.3749 0.8752 0.3749  6 Y 2.94-2.95
4 Y 0.3749 0.3749 0.3749  6 Y 2.94-2.95
5 Ru 0.0000 0.0000 0.0000  12 Y 3.45, 4 Rh 3.61
6 Rh 0.7500 0.7500 0.7500  12 Y 3.45, 4 Ru 3.61

Results
- total DFT energy (no corrections) (eV per atom) = -6.2628
- space-group type = No. 216
- DFT formation energy (eV/atom) = 0.818

***

# 2
YRuRh2: relaxed, PBE.

Unit cell a=4.5760 b=2.9471 c=4.9293 alpha=90.00 beta=90.00 gamma=90.00
Last column: nearest neighbours and their distance in Å.
Fractional positions:
1 Rh 0.0000 0.1251 0.9541  4 Ru 2.74-3.01, 4 Y 2.81, 4 Rh 2.89-2.95
2 Rh 0.5000 0.1248 0.3126  4 Ru 2.77, 4 Y 2.86-2.88, 4 Rh 2.89-2.95
3 Ru 0.0000 0.6249 0.4221  8 Rh 2.74-3.01, 2 Ru 2.95, 2 Y 2.99
4 Y 0.5000 0.6252 0.8112  8 Rh 2.81-2.88, 2 Y 2.95, 2 Ru 2.99

Results
- total DFT energy (no corrections) (eV per atom) = -7.7882
- space-group type = No. 25
- DFT formation energy (eV/atom) = -0.177

***

# 3
YRu2Rh: relaxed, PBE.

Unit cell a=4.8921 b=4.8921 c=5.0140 alpha=77.93 beta=77.93 gamma=35.49
Last column: nearest neighbours and their distance in Å.
Fractional positions:
1 Rh 0.7399 0.7399 0.7677  4 Ru 2.62-2.79, 3 Y 2.79-2.90
2 Ru 0.9968 0.9968 0.0318  3 Ru 2.62-2.75, 2 Rh 2.79, 2 Y 2.85
3 Ru 0.2625 0.2625 0.1853  3 Ru 2.62-2.75, 2 Rh 2.62
4 Y 0.5008 0.5008 0.5152  3 Rh 2.79-2.90, 7 Ru 2.85-3.05, 2 Y 2.98

Results
- total DFT energy (no corrections) (eV per atom) = -8.0936
- space-group type = No. 8
- DFT formation energy (eV/atom) = -0.002

***

# 4
YRu2Rh: relaxed, PBE.

Unit cell a=2.9638 b=4.7780 c=5.8114 alpha=53.34 beta=90.00 gamma=90.00
Last column: nearest neighbours and their distance in Å.
Fractional positions:
1 Rh 0.0000 0.0000 0.5000  4 Y 2.81, 6 Ru 2.84-2.91, 2 Rh 2.96
2 Ru 0.0000 0.0000 0.0000  6 Ru 2.81-2.96, 4 Y 2.84, 2 Rh 2.91
3 Ru 0.5000 0.5000 0.0000  6 Ru 2.81-2.96, 4 Rh 2.84, 2 Y 2.91
4 Y 0.5000 0.5000 0.5000  4 Rh 2.81, 6 Ru 2.84-2.91, 2 Y 2.96

Results
- total DFT energy (no corrections) (eV per atom) = -8.0796
- space-group type = No. 10
- DFT formation energy (eV/atom) = 0.012